# 1
A relaxed Zr4Ta2In3N3 crystal. Source: the Open Quantum Materials Database, functional PBE-GGA.

abc: 5.608 5.608 15.121
angles: 100.79 100.79 60.04
Element x y z (fractional)
In 0.733 0.583 0.249
In 0.100 0.900 0.250
In 0.417 0.267 0.251
In 0.583 0.733 0.749
In 0.900 0.100 0.750
In 0.267 0.417 0.751
N 0.663 0.175 0.000
N 0.000 0.500 0.000
N 0.337 0.825 0.000
N 0.175 0.663 0.500
N 0.500 0.000 0.500
N 0.825 0.337 0.500
Ta 0.357 0.526 0.079
Ta 0.474 0.643 0.421
Ta 0.526 0.357 0.579
Ta 0.643 0.474 0.921
Zr 0.695 0.865 0.087
Zr 0.032 0.193 0.087
Zr 0.807 0.968 0.413
Zr 0.135 0.305 0.413
Zr 0.865 0.695 0.587
Zr 0.193 0.032 0.587
Zr 0.968 0.807 0.913
Zr 0.305 0.135 0.913

# 2
A relaxed Zr2Ta4In3N3 crystal. Source: the Open Quantum Materials Database, functional PBE-GGA.

abc: 5.567 5.567 14.754
angles: 100.90 100.90 60.11
Element x y z (fractional)
In 0.582 0.779 0.250
In 0.943 0.057 0.250
In 0.221 0.418 0.250
In 0.779 0.582 0.750
In 0.057 0.943 0.750
In 0.418 0.221 0.750
N 0.500 0.000 0.000
N 0.830 0.335 0.000
N 0.170 0.665 0.000
N 0.335 0.830 0.500
N 0.000 0.500 0.500
N 0.665 0.170 0.500
Ta 0.192 0.027 0.078
Ta 0.860 0.693 0.079
Ta 0.307 0.140 0.421
Ta 0.973 0.808 0.422
Ta 0.027 0.192 0.578
Ta 0.693 0.860 0.579
Ta 0.140 0.307 0.921
Ta 0.808 0.973 0.922
Zr 0.530 0.364 0.092
Zr 0.636 0.470 0.408
Zr 0.364 0.530 0.592
Zr 0.470 0.636 0.908

# 3
A relaxed InTc3N crystal. Source: the Open Quantum Materials Database, functional PBE-GGA.

abc: 4.124 4.124 4.124
angles: 90.00 90.00 90.00
Last column: magnetic moment on the atom in μB.
Element x y z (fractional)
In 0.000 0.000 0.000  -0.03
N 0.500 0.500 0.500  -0.03
Tc 0.500 0.500 0.000  0.43
Tc 0.500 0.000 0.500  0.54
Tc 0.000 0.500 0.500  0.50

# 4
A relaxed TlInW4N2 crystal. Source: the Open Quantum Materials Database, functional PBE-GGA.

abc: 2.926 2.926 15.547
angles: 90.00 90.00 120.00
Element x y z (fractional)
In 0.000 0.000 0.500
N 0.667 0.333 0.252
N 0.667 0.333 0.748
Tl 0.333 0.667 0.000
W 0.000 0.000 0.162
W 0.333 0.667 0.342
W 0.333 0.667 0.658
W 0.000 0.000 0.838

One value per record, in order, for VASP energy: -202.92 -210.98 -41.83 -70.04 eV for the cell shown.
One value per record, in order, for M_tot: 0.001 0.003 1.500 0.073 Bohr magnetons per cell.